#A
Na2NbOs after structural relaxation, computed with PBE.

abc: 4.6707 4.6707 4.6707
angles: 60.00 60.00 60.00
Fractional positions:
Na  0.2500  0.2500  0.2500
Na  0.7500  0.7500  0.7500
Nb  0.0000  0.0000  0.0000
Os  0.5000  0.5000  0.5000

Values from the calculation:
- space group = No. 225
- DOS(E_F) (states/eV/f.u.) = 4.00
- crystal system = cubic



#B
Na2NbOs after structural relaxation, computed with PBE.

abc: 6.4742 6.4742 6.4742
angles: 98.30 98.30 135.33
Fractional positions:
Na  0.0927  0.6250  0.9677
Na  0.3750  0.3427  0.4677
Na  0.6573  0.1250  0.0323
Na  0.8750  0.9073  0.5323
Nb  0.2500  0.7500  0.5000
Nb  0.5000  0.5000  0.0000
Os  0.0000  0.0000  0.0000
Os  0.7500  0.2500  0.5000

Values from the calculation:
- space group = No. 122
- DOS(E_F) (states/eV/f.u.) = 4.50
- crystal system = tetragonal



The relative energies come out as #A 219; #B 0, with values in meV per atom.